[1]
Density functional theory data (PBE) for crystalline Ce2GeBi at its relaxed geometry.

abc: 7.5873 4.4600 14.9482
angles: 90.00 90.00 90.00
Closest atoms and distances in Å follow each position.
Fractional coordinates of all 16 atoms:
Ce 0.1490 0.2500 0.2444  2 Ge 2.93-2.94
Ce 0.2433 0.2500 0.5045  3 Ge 2.91-2.95
Ce 0.2567 0.7500 0.0045  3 Ge 2.91-2.95
Ce 0.3510 0.7500 0.7444  2 Ge 2.93-2.94
Ce 0.6490 0.2500 0.2556  2 Ge 2.93-2.94
Ce 0.7433 0.2500 0.9955  3 Ge 2.91-2.95
Ce 0.7567 0.7500 0.4955  3 Ge 2.91-2.95
Ce 0.8510 0.7500 0.7556  2 Ge 2.93-2.94
Ge 0.0866 0.7500 0.6004  5 Ce 2.91-2.95
Ge 0.4134 0.2500 0.1004  5 Ce 2.91-2.95
Ge 0.5866 0.7500 0.8996  5 Ce 2.91-2.95
Ge 0.9134 0.2500 0.3996  5 Ce 2.91-2.95
Bi 0.0959 0.2500 0.8601  7 Ce 3.30-3.42
Bi 0.4041 0.7500 0.3601  7 Ce 3.30-3.42
Bi 0.5959 0.2500 0.6399  7 Ce 3.30-3.42
Bi 0.9041 0.7500 0.1399  7 Ce 3.30-3.42

Values from the calculation:
Calculated volume (Å³/atom): 31.6
DFT formation energy (eV per atom): -0.5627
Space group: Pnma

***

[2]
Density functional theory data (PBE) for crystalline AcLa2Tb6Y3 at its relaxed geometry.

abc: 6.3033 6.3033 11.9940
angles: 95.03 95.03 120.01
Closest atoms and distances in Å follow each position.
Fractional coordinates of all 12 atoms:
Ac 0.0000 0.0000 0.0000  6 La 3.64, 6 Tb 3.69
La 0.3334 0.6666 0.0000  3 La 3.64, 3 Ac 3.64, 6 Tb 3.68-3.69
La 0.6666 0.3334 0.0000  3 La 3.64, 3 Ac 3.64, 6 Tb 3.68-3.69
Tb 0.0865 0.4211 0.2563  3 Y 3.56-3.57, 6 Tb 3.63-3.65, 2 La 3.68, 1 Ac 3.69
Tb 0.2482 0.2482 0.7434  3 Y 3.56, 6 Tb 3.63-3.65, 2 La 3.69, 1 Ac 3.69
Tb 0.4211 0.0865 0.2563  3 Y 3.56-3.57, 6 Tb 3.63-3.65, 2 La 3.68, 1 Ac 3.69
Tb 0.5789 0.9135 0.7437  3 Y 3.56-3.57, 6 Tb 3.63-3.65, 2 La 3.68, 1 Ac 3.69
Tb 0.7518 0.7518 0.2566  3 Y 3.56, 6 Tb 3.63-3.65, 2 La 3.69, 1 Ac 3.69
Tb 0.9135 0.5789 0.7437  3 Y 3.56-3.57, 6 Tb 3.63-3.65, 2 La 3.68, 1 Ac 3.69
Y 0.1668 0.8332 0.5000  6 Tb 3.56-3.57, 6 Y 3.64
Y 0.5000 0.5000 0.5000  6 Tb 3.56, 6 Y 3.64
Y 0.8332 0.1668 0.5000  6 Tb 3.56-3.57, 6 Y 3.64

Values from the calculation:
Calculated volume (Å³/atom): 33.9
DFT formation energy (eV per atom): 0.0310
Space group: C2/m

***

[3]
Density functional theory data (PBE) for crystalline Pu3SbPN at its relaxed geometry.

abc: 7.1424 4.3265 8.8712
angles: 90.00 104.29 90.00
Closest atoms and distances in Å follow each position.
Fractional coordinates of all 12 atoms:
Pu 0.0071 0.2500 0.3495  1 N 2.20
Pu 0.1895 0.7500 0.0651  3 N 2.27-2.39
Pu 0.4663 0.2500 0.3068  3 P 2.74-2.87, 1 N 2.78
Pu 0.5337 0.7500 0.6932  3 P 2.74-2.87, 1 N 2.78
Pu 0.8105 0.2500 0.9349  3 N 2.27-2.39
Pu 0.9929 0.7500 0.6505  1 N 2.20
Sb 0.3067 0.2500 0.8270  6 Pu 3.11-3.27, 1 N 3.39
Sb 0.6933 0.7500 0.1730  6 Pu 3.11-3.27, 1 N 3.39
P 0.2664 0.7500 0.4118  6 Pu 2.74-2.99
P 0.7336 0.2500 0.5882  6 Pu 2.74-2.99
N 0.0876 0.2500 0.1259  4 Pu 2.20-2.39
N 0.9124 0.7500 0.8741  4 Pu 2.20-2.39

Values from the calculation:
Formation energy (no corrections) (eV per atom): -0.9696
Calculated volume (Å³/atom): 22.1
Space group: P2_1/m

***

[4]
Density functional theory data (PBE) for crystalline Y2SiBr at its relaxed geometry.

abc: 7.7325 7.7325 7.7325
angles: 152.80 149.66 41.20
Closest atoms and distances in Å follow each position.
Fractional coordinates of all 4 atoms:
Y 0.0000 0.0000 0.0000  2 Si 2.83
Y 0.7894 0.2894 0.5000  4 Si 2.92, 2 Br 3.14
Si 0.3632 0.8632 0.5000  6 Y 2.83-2.92
Br 0.6128 0.6128 0.0000  6 Y 3.14-3.17

Values from the calculation:
Formation energy (no corrections) (eV per atom): -0.7902
Calculated volume (Å³/atom): 26.6
Space group: Imm2

***

[5]
Density functional theory data (PBE) for crystalline ZnNi3Pd12 at its relaxed geometry.

abc: 3.8819 3.8819 15.5029
angles: 90.00 90.00 90.00
Closest atoms and distances in Å follow each position.
Fractional coordinates of all 16 atoms:
Zn 0.0000 0.0000 0.0000  12 Pd 2.74-2.77
Ni 0.0000 0.0000 0.2526  12 Pd 2.73-2.74
Ni 0.0000 0.0000 0.5000  12 Pd 2.73-2.74
Ni 0.0000 0.0000 0.7474  12 Pd 2.73-2.74
Pd 0.0000 0.5000 0.1277  8 Pd 2.73-2.77, 2 Ni 2.74, 2 Zn 2.77
Pd 0.0000 0.5000 0.3761  4 Ni 2.73, 8 Pd 2.73-2.74
Pd 0.0000 0.5000 0.6239  4 Ni 2.73, 8 Pd 2.73-2.74
Pd 0.0000 0.5000 0.8723  8 Pd 2.73-2.77, 2 Ni 2.74, 2 Zn 2.77
Pd 0.5000 0.0000 0.1277  8 Pd 2.73-2.77, 2 Ni 2.74, 2 Zn 2.77
Pd 0.5000 0.0000 0.3761  4 Ni 2.73, 8 Pd 2.73-2.74
Pd 0.5000 0.0000 0.6239  4 Ni 2.73, 8 Pd 2.73-2.74
Pd 0.5000 0.0000 0.8723  8 Pd 2.73-2.77, 2 Ni 2.74, 2 Zn 2.77
Pd 0.5000 0.5000 0.0000  4 Zn 2.74, 8 Pd 2.77
Pd 0.5000 0.5000 0.2520  8 Pd 2.73, 4 Ni 2.74
Pd 0.5000 0.5000 0.5000  8 Pd 2.73, 4 Ni 2.74
Pd 0.5000 0.5000 0.7480  8 Pd 2.73, 4 Ni 2.74

Values from the calculation:
Calculated volume (Å³/atom): 14.6
DFT formation energy (eV per atom): -0.0506
Space group: P4/mmm

***

[6]
Density functional theory data (PBE) for crystalline BaZn2Re at its relaxed geometry.

abc: 4.5338 4.5338 4.2853
angles: 90.00 90.00 90.00
Closest atoms and distances in Å follow each position.
Fractional coordinates of all 4 atoms:
Ba 0.0000 0.0000 0.0000  8 Zn 3.12, 4 Re 3.21
Zn 0.0000 0.5000 0.5000  4 Ba 3.12, 4 Re 3.12, 4 Zn 3.21
Zn 0.5000 0.0000 0.5000  4 Ba 3.12, 4 Re 3.12, 4 Zn 3.21
Re 0.5000 0.5000 0.0000  8 Zn 3.12, 4 Ba 3.21

Values from the calculation:
Calculated volume (Å³/atom): 22.0
DFT formation energy (eV per atom): 0.9921
Space group: P4/mmm

***

[7]
Density functional theory data (PBE) for crystalline BaSr2Ge2 at its relaxed geometry.

abc: 7.1128 7.1128 7.1128
angles: 131.89 131.89 70.40
Closest atoms and distances in Å follow each position.
Fractional coordinates of all 5 atoms:
Ba 0.0000 0.0000 0.0000  2 Sr 3.91, 8 Ge 4.11
Sr 0.3367 0.3367 0.0000  4 Ge 3.07
Sr 0.6633 0.6633 0.0000  4 Ge 3.07
Ge 0.2500 0.7500 0.5000  4 Sr 3.07
Ge 0.7500 0.2500 0.5000  4 Sr 3.07

Values from the calculation:
Calculated volume (Å³/atom): 39.1
DFT formation energy (eV per atom): -0.2040
Space group: I4/mmm

***

[8]
Density functional theory data (PBE) for crystalline Ti2TlO at its relaxed geometry.

abc: 7.0659 7.0659 7.0659
angles: 26.35 26.35 26.35
Closest atoms and distances in Å follow each position.
Fractional coordinates of all 4 atoms:
Ti 0.0000 0.0000 0.0000  3 O 2.13
Ti 0.2335 0.2335 0.2335  3 O 2.11
Tl 0.7843 0.7843 0.7843  6 Ti 3.01-3.04, 6 Tl 3.22
O 0.6158 0.6158 0.6158  6 Ti 2.11-2.13

Values from the calculation:
Formation energy (no corrections) (eV per atom): -1.1465
Calculated volume (Å³/atom): 15.3
Space group: R3m